# 1
DyPuAl | PBE | relaxed

a = 5.1199 Å, b = 5.1199 Å, c = 3.2390 Å
α = 90.00°, β = 90.00°, γ = 120.00°
Element x y z (fractional)
Dy: 0.0000 0.0000 0.0000
Pu: 0.6667 0.3333 0.6036
Al: 0.3333 0.6667 0.2955

Properties
Calculated density   9.8 g/cm³
Relative energy among the computed polymorphs   0.13 eV/f.u.
N(E_F)   2.04 states/eV/atom
Calculated total energy   -7.6029 eV/atom
Symmetry   P3m1 (156)
Formation energy from the elements   -0.04 eV per atom
Total magnetization   5.8 μB/cell



# 2
ZnSbTe2 | PBE | relaxed

a = 4.2907 Å, b = 4.2907 Å, c = 21.1389 Å
α = 90.00°, β = 90.00°, γ = 120.00°
Element x y z (fractional)
Zn: 0.0000 0.0000 0.0000
Zn: 0.3333 0.6667 0.6667
Zn: 0.6667 0.3333 0.3333
Sb: 0.0000 0.0000 0.5000
Sb: 0.3333 0.6667 0.1667
Sb: 0.6667 0.3333 0.8333
Te: 0.0000 0.0000 0.2564
Te: 0.0000 0.0000 0.7436
Te: 0.3333 0.6667 0.4102
Te: 0.3333 0.6667 0.9231
Te: 0.6667 0.3333 0.0769
Te: 0.6667 0.3333 0.5898

Properties
Calculated density   6.5 g/cm³
Relative energy among the computed polymorphs   0.00 eV/f.u.
N(E_F)   0.43 states/eV/atom
Energy relative to the elements, uncorrected   -0.0977 eV/atom
Calculated total energy   -3.0176 eV/atom
Symmetry   R-3m (166)
Total magnetization   0.0 μB/cell



# 3
AsSe2 | PBE | relaxed

a = 7.9863 Å, b = 3.8033 Å, c = 9.7731 Å
α = 90.00°, β = 90.00°, γ = 90.00°
Element x y z (fractional)
As: 0.1681 0.2500 0.0820
As: 0.3319 0.7500 0.5820
As: 0.6681 0.2500 0.4180
As: 0.8319 0.7500 0.9180
Se: 0.0626 0.2500 0.8511
Se: 0.1236 0.2500 0.4681
Se: 0.3764 0.7500 0.9681
Se: 0.4374 0.7500 0.3511
Se: 0.5626 0.2500 0.6489
Se: 0.6236 0.2500 0.0319
Se: 0.8764 0.7500 0.5319
Se: 0.9374 0.7500 0.1489

Properties
Calculated density   5.2 g/cm³
N(E_F)   0.34 states/eV/atom
Energy relative to the elements, uncorrected   0.0348 eV/atom
Calculated total energy   -3.8380 eV/atom
Symmetry   Pnma (62)
Total magnetization   0.0 μB/cell